16
Lattice="4.816 0.000 0.000 0.000 4.816 0.000 0.000 0.000 12.192" Properties=species:S:1:pos:R:3 comment="SbRh2O PBE-GGA optimized geometry" e_form_raw_ev_per_atom=-0.21 final_energy_ev_per_atom=-6.156 spacegroup=I-42d pbc="T T T"
Sb 0.000 0.000 0.000
Sb 0.000 2.408 3.048
Sb 2.408 0.000 9.144
Sb 2.408 2.408 6.096
Rh 0.608 1.204 7.620
Rh 1.204 3.017 10.668
Rh 1.204 4.208 4.572
Rh 1.800 1.204 1.524
Rh 3.017 3.612 1.524
Rh 3.612 0.608 4.572
Rh 3.612 1.800 10.668
Rh 4.208 3.612 7.620
O 0.000 0.000 6.096
O 0.000 2.408 9.144
O 2.408 0.000 3.048
O 2.408 2.408 0.000